A plane-wave DFT calculation with PBE+U was carried out for a relaxed structure of K4Li3MnF12.

a b c (Å): 7.0505 7.0505 7.0505
angles (deg): 109.47 109.47 109.47
Last column: magnetic moment on the atom in μB.
Element x y z (fractional)
K: 0.5000 0.5000 0.5000  0.00
K: 0.0000 0.0000 0.5000  0.00
K: 0.5000 0.0000 0.0000  0.00
K: 0.0000 0.5000 0.0000  0.00
Li: 0.5000 0.0000 0.5000  0.00
Li: 0.5000 0.5000 0.0000  0.00
Li: 0.0000 0.5000 0.5000  0.00
Mn: 0.0000 0.0000 0.0000  2.99
F: 0.2500 0.5000 0.7500  0.16
F: 0.7739 0.0000 0.7739  0.00
F: 0.2261 0.0000 0.2261  0.00
F: 0.7500 0.5000 0.2500  0.16
F: 0.7739 0.7739 0.0000  0.00
F: 0.2261 0.2261 0.0000  0.00
F: 0.7500 0.2500 0.5000  0.16
F: 0.2500 0.7500 0.5000  0.16
F: 0.5000 0.2500 0.7500  0.16
F: 0.0000 0.7739 0.7739  0.00
F: 0.5000 0.7500 0.2500  0.16
F: 0.0000 0.2261 0.2261  0.00

Results
N(E_F): 0.842 states/eV/atom
total DFT energy (no corrections): -91.6 eV/cell
space group: No. 229